1.
LiCe3Er2Se6 | Alexandria | PBE-GGA | relaxed; formation energy without anion corrections = -1737 meV/atom; SG = No. 12
1.0
-4.7310 1.1204 5.1491
-2.1587 -0.6651 -6.7118
1.6619 -6.8627 1.3935
Li Ce Er Se
1 3 2 6
Cartesian
0.0000 0.0000 0.0000
-1.7588 -3.7973 -4.0276
-3.4691 -2.6101 3.8584
-2.6139 -3.2037 -0.0846
-3.0175 -0.0690 -2.7521
-3.8723 0.5243 1.1894
-4.3765 -4.6425 1.8250
-4.7833 -1.2461 -0.8498
-0.8514 -1.7648 -1.9942
-3.5350 -5.2267 -2.0550
-0.4446 -5.1613 0.6806
-1.6929 -1.1807 1.8858

=====

2.
Li4CeEr3Se8 | Alexandria | PBE-GGA | relaxed; formation energy without anion corrections = -1666 meV/atom; SG = No. 166
1.0
8.1659 0.0000 0.0000
0.0000 8.0268 -0.1071
-4.0829 -4.0790 5.7748
Li Ce Er Se
4 1 3 8
Cartesian
4.0829 0.0000 0.0000
2.0415 -2.0395 2.8874
0.0000 0.0000 0.0000
-2.0415 -2.0395 2.8874
0.0000 4.0134 -0.0535
4.0829 4.0134 -0.0535
2.0415 1.9739 2.8338
-2.0415 1.9739 2.8338
-1.9874 1.9813 5.6868
0.0000 3.9668 2.8755
0.0000 -0.0341 2.8576
1.9874 1.9813 5.6868
2.0955 1.9666 -0.0191
4.0829 3.9819 2.8101
4.0829 -0.0190 2.7922
6.0704 1.9666 -0.0191

=====

3.
LiCe2ErSe5 | Alexandria | PBE-GGA | relaxed; formation energy without anion corrections = -1714 meV/atom; SG = No. 36
1.0
4.1270 0.0000 0.0000
-2.0635 8.6118 0.0000
0.0000 0.0000 12.4395
Li Ce Er Se
2 4 2 10
Cartesian
2.0635 0.2653 12.1710
0.0000 8.3465 5.9513
2.0635 6.4411 9.9318
0.0000 1.8601 8.5146
0.0000 2.1708 3.7120
2.0635 6.7517 2.2948
2.0635 5.2061 6.2639
0.0000 3.4058 0.0441
0.0000 6.2336 12.4196
2.0635 3.2944 10.5346
0.0000 8.5955 9.7203
0.0000 4.9306 8.2312
2.0635 7.7994 7.1000
2.0635 2.3783 6.1998
0.0000 5.3174 4.3148
2.0635 0.0163 3.5005
2.0635 3.6813 2.0114
0.0000 0.8124 0.8803

=====

4.
LiCeErSi | Alexandria | PBE-GGA | relaxed; formation energy without anion corrections = -268 meV/atom; SG = No. 216
1.0
-1.0432 -2.9367 3.9068
3.1717 -3.6320 1.3133
2.6588 0.4066 4.2120
Si Li Ce Er
1 1 1 1
Cartesian
1.1968 -1.5405 2.3580
3.5905 -4.6216 7.0741
0.0000 0.0000 0.0000
2.3936 -3.0811 4.7161

=====

5.
Li2Ce2ErSn2 | Alexandria | PBE-GGA | relaxed; SG = No. 166; formation energy from the elements = -2.9 eV/f.u.
1.0
-0.1792 -2.7621 -3.7026
3.0673 -3.4253 -0.4791
-4.5441 -7.6100 3.0109
Li Ce Er Sn
2 2 1 2
Cartesian
0.7154 -5.3439 -1.8199
-2.3713 -8.4534 0.6491
-2.1914 -5.2399 1.1291
0.5355 -8.5574 -2.2999
0.0000 0.0000 0.0000
-1.5341 -10.6424 -0.6444
-0.1218 -3.1550 -0.5264

=====

6.
LiCeErSn | Alexandria | PBE-GGA | relaxed; SG = No. 216; formation energy from the elements = -1.2 eV/f.u.
1.0
5.2776 0.0000 0.0000
2.6388 4.5705 0.0000
2.6388 1.5235 4.3091
Li Sn Ce Er
1 1 1 1
Cartesian
7.9164 4.5705 3.2318
2.6388 1.5235 1.0773
0.0000 0.0000 0.0000
5.2776 3.0470 2.1546

=====

7.
Li2CeEr2Sn2 | Alexandria | PBE-GGA | relaxed; SG = No. 166; formation energy from the elements = -2.8 eV/f.u.
1.0
-4.2642 -0.9866 -2.0277
-2.6981 -3.6202 1.6979
-6.2754 4.0400 5.4938
Li Ce Er Sn
2 1 2 2
Cartesian
-5.5877 -1.7372 1.1209
-7.6500 1.1704 4.0432
0.0000 0.0000 0.0000
-4.7289 1.8597 3.3025
-8.5088 -2.4264 1.8616
-10.0405 -0.2669 4.0321
-3.1972 -0.2999 1.1320

=====

8.
LiCeErTc | Alexandria | PBE-GGA | relaxed; SG = No. 216; formation energy from the elements = -0.1 eV/f.u.
1.0
-1.4030 2.8257 -3.7776
1.5902 -1.0045 -4.5482
-3.1264 -1.7660 -3.3661
Li Tc Ce Er
1 1 1 1
Cartesian
0.0000 0.0000 0.0000
-1.4696 0.0277 -5.8459
-0.7348 0.0138 -2.9229
-2.2044 0.0415 -8.7688

=====

9.
LiCeErTe3 | Alexandria | PBE-GGA | relaxed; formation energy without anion corrections = -1247 meV/atom; SG = No. 11
1.0
4.2941 0.0000 0.0000
0.0000 8.9269 0.5427
0.0000 -2.8858 9.1169
Li Ce Er Te
2 2 2 6
Cartesian
1.0735 -0.9207 5.3830
3.2206 6.9618 4.2766
3.2206 5.0272 7.4398
1.0735 1.0139 2.2198
1.0735 5.5297 1.8103
3.2206 0.5114 7.8493
1.0735 5.4031 4.9260
3.2206 7.7160 1.6578
3.2206 3.3819 1.8089
3.2206 0.6380 4.7336
1.0735 2.6592 7.8507
1.0735 -1.6749 8.0018

=====

10.
LiCe3Er2Te6 | Alexandria | PBE-GGA | relaxed; formation energy without anion corrections = -1298 meV/atom; SG = No. 12
1.0
4.3767 0.0000 0.0000
0.0000 8.8436 0.2586
-2.1883 -2.6094 9.2650
Li Ce Er Te
1 3 2 6
Cartesian
2.1883 0.0000 0.0000
2.1883 4.4218 0.1293
2.1883 -0.2743 6.2103
0.0000 6.5085 3.3133
2.1883 4.1333 6.3530
0.0000 2.1009 3.1706
0.0000 6.2660 6.5240
2.1883 4.2212 3.2927
2.1883 -0.0318 2.9996
0.0000 2.0759 0.1183
2.1883 4.1583 9.4053
0.0000 2.0130 6.2309

=====

11.
Li2CeErTe4 | Alexandria | PBE-GGA | relaxed; formation energy without anion corrections = -1248 meV/atom; SG = No. 10
1.0
-0.4444 -3.8417 -2.0910
6.9407 -2.0855 2.3563
-5.1301 -2.1453 5.0319
Li Ce Er Te
2 1 1 4
Cartesian
-2.7873 -2.9935 1.4705
0.9053 -2.1154 3.6941
0.0000 0.0000 0.0000
3.2482 -2.9636 0.1327
0.2634 -3.0265 0.8827
1.1028 -5.0459 4.4146
-2.0364 -2.1336 4.3529
3.8470 -2.0971 3.0353

=====

12.
LiCe2ErTl4 | Alexandria | PBE-GGA | relaxed; SG = No. 166; formation energy from the elements = -2.1 eV/f.u.
1.0
-2.3443 -4.6957 -0.8708
0.8476 -4.0558 3.3370
-7.4897 -0.3377 5.7329
Li Ce Er Tl
1 2 1 4
Cartesian
-4.4932 -4.5446 4.0996
-6.6576 -6.8472 6.0916
-2.3288 -2.2419 2.1075
0.0000 0.0000 0.0000
-7.0852 -3.5882 5.9204
-4.1504 -7.7723 4.3304
-4.8360 -1.3168 3.8687
-1.9012 -5.5010 2.2787

=====

13.
CeEr2Lu | Alexandria | PBE-GGA | relaxed; SG = No. 225; energy relative to the lowest polymorph listed for this composition = 0.1101 eV per atom; formation energy from the elements = 0.7 eV/f.u.
1.0
-5.5090 -0.8442 -0.4267
-2.8984 -1.8238 4.4177
-3.5627 3.4243 2.6123
Lu Ce Er
1 1 2
Cartesian
0.0000 0.0000 0.0000
-5.9851 0.3782 3.3017
-2.9925 0.1891 1.6508
-8.9776 0.5673 4.9525

=====

14.
CeErLu2 | Alexandria | PBE-GGA | relaxed; SG = No. 225; energy relative to the lowest polymorph listed for this composition = 0.0690 eV per atom; formation energy from the elements = 0.5 eV/f.u.
1.0
5.5595 0.0000 0.0000
2.7798 4.8147 0.0000
2.7798 1.6049 4.5394
Lu Ce Er
2 1 1
Cartesian
2.7798 1.6049 1.1348
8.3393 4.8147 3.4045
5.5595 3.2098 2.2697
0.0000 0.0000 0.0000

=====

15.
CeEr2Lu | Alexandria | PBE-GGA | relaxed; SG = No. 123; energy relative to the lowest polymorph listed for this composition = 0.0095 eV per atom; formation energy from the elements = 0.3 eV/f.u.
1.0
-0.5456 -1.0270 -4.8130
3.2073 -3.7161 0.4294
-3.7012 -3.0702 1.0747
Lu Ce Er
1 1 2
Cartesian
-0.5198 -3.9067 -1.6545
-0.2728 -0.5135 -2.4065
-1.8506 -1.5351 0.5373
1.6036 -1.8581 0.2147

=====

16.
CeErLu2 | Alexandria | PBE-GGA | relaxed; SG = No. 166; energy relative to the lowest polymorph listed for this composition = 0.0000 eV per atom; formation energy from the elements = 0.2 eV/f.u.
1.0
3.4712 0.0000 0.0000
1.7356 3.0061 0.0000
1.7356 1.0020 11.3148
Lu Ce Er
2 1 1
Cartesian
5.2068 3.0061 8.4995
1.7356 1.0020 2.8153
0.0000 0.0000 0.0000
3.4712 2.0041 5.6574

=====

17.
CeErLu2 | Alexandria | PBE-GGA | relaxed; SG = No. 123; energy relative to the lowest polymorph listed for this composition = 0.0100 eV per atom; formation energy from the elements = 0.3 eV/f.u.
1.0
4.8898 0.0000 0.0000
0.0000 4.9337 0.0000
0.0000 0.0000 4.9337
Lu Ce Er
2 1 1
Cartesian
0.0000 0.0000 2.4668
0.0000 2.4668 0.0000
2.4449 0.0000 0.0000
2.4449 2.4668 2.4668

=====

18.
CeErLu2 | Alexandria | PBE-GGA | relaxed; SG = No. 123; energy relative to the lowest polymorph listed for this composition = 0.0102 eV per atom; formation energy from the elements = 0.3 eV/f.u.
1.0
3.4825 0.0000 0.0000
0.0000 3.4825 0.0000
0.0000 0.0000 9.8037
Lu Ce Er
2 1 1
Cartesian
0.0000 0.0000 7.3801
0.0000 0.0000 2.4236
1.7413 1.7413 0.0000
1.7413 1.7413 4.9018

=====

19.
CeErLu | Alexandria | PBE-GGA | relaxed; SG = No. 107; energy relative to the lowest polymorph listed for this composition = 0.0142 eV per atom; formation energy from the elements = 0.2 eV/f.u.
1.0
3.4803 0.0000 0.0000
0.0000 3.4803 0.0000
-1.7401 -1.7401 7.3994
Lu Ce Er
1 1 1
Cartesian
1.7401 1.7401 1.7542
0.0000 0.0000 4.1856
1.7401 1.7401 6.6390

=====

20.
CeEr2Lu | Alexandria | PBE-GGA | relaxed; SG = No. 123; energy relative to the lowest polymorph listed for this composition = 0.0073 eV per atom; formation energy from the elements = 0.3 eV/f.u.
1.0
-3.4515 -0.4553 -0.0768
0.4513 -3.2051 -1.2845
0.2764 -3.6486 9.2008
Lu Ce Er
1 1 2
Cartesian
-1.3619 -3.6545 3.9197
-1.5001 -1.8302 -0.6807
0.2078 -2.7431 6.9174
0.0686 -0.9055 2.2834

=====

21.
CeErLu4 | Alexandria | PBE-GGA | relaxed; SG = No. 216; formation energy from the elements = 2.0 eV/f.u.
1.0
6.4866 0.0000 0.0000
3.2433 5.6176 0.0000
3.2433 1.8725 5.2963
Lu Ce Er
4 1 1
Cartesian
6.4866 3.7450 0.6571
6.4866 1.8679 3.3118
8.1123 4.6836 3.3118
4.8610 4.6836 3.3118
3.2433 1.8725 1.3241
0.0000 0.0000 0.0000

=====

22.
CeErLu | Alexandria | PBE-GGA | relaxed; SG = No. 156; energy relative to the lowest polymorph listed for this composition = 0.0000 eV per atom; formation energy from the elements = 0.2 eV/f.u.
1.0
3.4723 0.0000 0.0000
-1.7362 3.0071 0.0000
0.0000 0.0000 8.5087
Lu Ce Er
1 1 1
Cartesian
1.7362 1.0024 2.8501
0.0000 2.0048 5.6630
0.0000 0.0000 8.5042

=====

23.
CeEr2Lu | Alexandria | PBE-GGA | relaxed; SG = No. 166; energy relative to the lowest polymorph listed for this composition = 0.0000 eV per atom; formation energy from the elements = 0.2 eV/f.u.
1.0
-2.1618 1.2484 2.4274
-3.1552 -1.4134 0.4144
2.5139 -7.3969 8.5404
Lu Ce Er
1 1 2
Cartesian
-1.4015 -3.7809 5.6911
0.0000 0.0000 0.0000
-2.1031 -5.6699 8.5352
-0.6999 -1.8919 2.8470

=====

24.
CeErLuPa | Alexandria | PBE-GGA | relaxed; SG = No. 216; formation energy from the elements = 1.4 eV/f.u.
1.0
5.4794 0.0000 0.0000
2.7397 4.7453 0.0000
2.7397 1.5818 4.4739
Pa Lu Ce Er
1 1 1 1
Cartesian
0.0000 0.0000 0.0000
5.4794 3.1635 2.2370
2.7397 1.5818 1.1185
8.2191 4.7453 3.3554

=====

25.
CePmErLu | Alexandria | PBE-GGA | relaxed; SG = No. 216; formation energy from the elements = 0.8 eV/f.u.
1.0
5.6531 0.0000 0.0000
2.8266 4.8957 0.0000
2.8266 1.6319 4.6157
Lu Pm Ce Er
1 1 1 1
Cartesian
8.4797 4.8957 3.4618
0.0000 0.0000 0.0000
2.8266 1.6319 1.1539
5.6531 3.2638 2.3079

=====

26.
CeErLuPu | Alexandria | PBE-GGA | relaxed; SG = No. 216; formation energy from the elements = 0.7 eV/f.u.
1.0
5.4833 0.0000 0.0000
2.7416 4.7487 0.0000
2.7416 1.5829 4.4771
Er Lu Ce Pu
1 1 1 1
Cartesian
5.4833 3.1658 2.2385
2.7416 1.5829 1.1193
8.2249 4.7487 3.3578
0.0000 0.0000 0.0000

=====

27.
CeErLuSc | Alexandria | PBE-GGA | relaxed; SG = No. 216; formation energy from the elements = 0.5 eV/f.u.
1.0
-2.7305 -2.9929 3.6706
1.3662 -5.2288 0.8239
2.4300 -1.4877 4.6656
Sc Lu Ce Er
1 1 1 1
Cartesian
0.0000 0.0000 0.0000
0.5328 -4.8547 4.5801
0.7992 -7.2820 6.8701
0.2664 -2.4273 2.2900

=====

| no. | mass density (g cm⁻³) | D(E_F) (states/eV per cell) | E_tot (eV/atom) |
| --- | --- | --- | --- |
| 1 | 6.951 | 19.379 | -5.88 |
| 2 | 5.763 | 6.052 | -5.11 |
| 3 | 6.379 | 25.932 | -5.69 |
| 4 | 6.442 | 7.612 | -4.73 |
| 5 | 6.988 | 11.049 | -4.45 |
| 6 | 6.918 | 9.933 | -4.41 |
| 7 | 6.768 | 10.314 | -4.24 |
| 8 | 8.122 | 4.324 | -5.72 |
| 9 | 6.500 | 16.987 | -4.89 |
| 10 | 7.015 | 22.241 | -5.27 |
| 11 | 5.839 | 6.740 | -4.61 |
| 12 | 9.656 | 15.249 | -3.74 |
| 13 | 8.735 | 9.912 | -4.73 |
| 14 | 8.983 | 6.887 | -4.76 |
| 15 | 8.972 | 7.006 | -4.83 |
| 16 | 9.245 | 8.051 | -4.83 |
| 17 | 9.170 | 7.166 | -4.82 |
| 18 | 9.180 | 8.593 | -4.82 |
| 19 | 8.937 | 6.599 | -4.93 |
| 20 | 8.984 | 7.546 | -4.83 |
| 21 | 8.667 | 20.328 | -4.43 |
| 22 | 9.015 | 6.148 | -4.95 |
| 23 | 9.013 | 8.140 | -4.84 |
| 24 | 10.183 | 10.941 | -5.78 |
| 25 | 8.155 | 10.121 | -4.75 |
| 26 | 10.346 | 9.423 | -7.16 |
| 27 | 7.579 | 7.046 | -5.22 |